# 1
Density functional theory data (PBEsol) for a relaxed structure of Tm2SO2.

Cell lengths 3.695, 3.695, 6.442 Å; angles 90.00, 90.00, 120.00 degrees
Sites, in units of the cell vectors:
1 S 0.000 0.000 0.000
2 Tm 0.667 0.333 0.717
3 Tm 0.333 0.667 0.283
4 O 0.667 0.333 0.370
5 O 0.333 0.667 0.630

Output
calculated volume: 76.2 Å³/cell
symmetry: P-3m1 (164)
uncorrected energy: -0.303 hartree per atom
E_form (uncorrected): -16.61 eV per formula unit
total magnetization: 0.000 μB/f.u.

---

# 2
Density functional theory data (PBEsol) for a relaxed structure of Y2TcAg.

Cell lengths 3.431, 4.218, 6.020 Å; angles 90.00, 90.00, 90.00 degrees
Sites, in units of the cell vectors:
1 Tc 0.500 0.500 0.792
2 Y 0.000 0.000 0.935
3 Y 0.500 0.500 0.295
4 Ag 0.000 0.000 0.477

Output
calculated volume: 87.1 Å³/cell
symmetry: Pmm2 (25)
uncorrected energy: -0.252 hartree per atom
total magnetization: 0.000 μB/f.u.

---

# 3
Density functional theory data (PBEsol) for a relaxed structure of FeSbSeBr2.

Cell lengths 4.892, 4.746, 4.746 Å; angles 90.00, 90.00, 90.00 degrees
Sites, in units of the cell vectors:
1 Fe 0.000 0.000 0.000
2 Se 0.500 0.000 0.000
3 Br 0.000 0.500 0.000
4 Br 0.000 0.000 0.500
5 Sb 0.500 0.500 0.500

Output
calculated volume: 110.2 Å³/cell
symmetry: P4/mmm (123)
uncorrected energy: -0.150 hartree per atom
E_form (uncorrected): 0.69 eV per formula unit
total magnetization: 2.349 μB/f.u.

---

# 4
Density functional theory data (PBEsol) for a relaxed structure of Mg3Sb.

Cell lengths 3.392, 5.140, 5.287 Å; angles 90.00, 90.00, 90.00 degrees
Sites, in units of the cell vectors:
1 Mg 0.000 0.000 0.991
2 Mg 0.500 0.000 0.495
3 Mg 0.500 0.500 0.843
4 Sb 0.000 0.500 0.338

Output
calculated volume: 92.2 Å³/cell
symmetry: Pmm2 (25)
uncorrected energy: -0.092 hartree per atom
E_form (uncorrected): -0.34 eV per formula unit
total magnetization: 0.000 μB/f.u.

---

# 5
Density functional theory data (PBEsol) for a relaxed structure of NaLaInH2.

Cell lengths 4.304, 4.304, 5.391 Å; angles 90.00, 90.00, 90.00 degrees
Sites, in units of the cell vectors:
1 H 0.000 0.500 0.000
2 H 0.500 0.000 0.000
3 La 0.500 0.500 0.500
4 Na 0.000 0.000 0.500
5 In 0.000 0.000 0.000

Output
calculated volume: 99.9 Å³/cell
symmetry: P4/mmm (123)
uncorrected energy: -0.099 hartree per atom
total magnetization: 0.000 μB/f.u.

---

# 6
Density functional theory data (PBEsol) for a relaxed structure of Ge2PdRuAu.

Cell lengths 4.678, 4.678, 4.939 Å; angles 90.00, 90.00, 90.00 degrees
Sites, in units of the cell vectors:
1 Ru 0.500 0.500 0.500
2 Ge 0.000 0.500 0.000
3 Ge 0.500 0.000 0.000
4 Pd 0.000 0.000 0.500
5 Au 0.000 0.000 0.000

Output
calculated volume: 108.1 Å³/cell
symmetry: P4/mmm (123)
uncorrected energy: -0.169 hartree per atom
total magnetization: 2.530 μB/f.u.

---

Please write out number 6 again, unchanged.
Density functional theory data (PBEsol) for a relaxed structure of Ge2PdRuAu.

Cell lengths 4.678, 4.678, 4.939 Å; angles 90.00, 90.00, 90.00 degrees
Sites, in units of the cell vectors:
1 Ru 0.500 0.500 0.500
2 Ge 0.000 0.500 0.000
3 Ge 0.500 0.000 0.000
4 Pd 0.000 0.000 0.500
5 Au 0.000 0.000 0.000

Output
calculated volume: 108.1 Å³/cell
symmetry: P4/mmm (123)
uncorrected energy: -0.169 hartree per atom
total magnetization: 2.530 μB/f.u.